Below is crystalline Ag3Pt at its relaxed geometry, with properties calculated at the GGA-PBEsol level.

Cell and atoms, written as POSCAR:
```
Ag3Pt
1.0
-0.635 -2.589 0.887
0.865 -1.054 -2.457
7.506 -0.816 2.992
Pt Ag
1 3
Direct
0.500 0.500 0.500
0.000 0.000 0.745
0.500 0.500 0.000
0.000 0.000 0.255
```

Summary:
Energy ... -4.212 eV/atom
Calculated formation energy ... 0.01 eV per atom
Space group ... P4/mmm, No. 123